(1)
Below is a relaxed structure of CuBiMoPt, with properties calculated at the GGA-PBE level.

a = 4.627 Å, b = 4.627 Å, c = 4.627 Å
α = 60.00°, β = 60.00°, γ = 60.00°
Positions (direct):
Mo 0.250 0.250 0.250
Cu 0.750 0.750 0.750
Bi 0.000 0.000 0.000
Pt 0.500 0.500 0.500

Output
Total moment, μB per atom: 0.2712
Density, Mg/m³: 13.4
Symmetry: F-43m, No. 216
Total energy, eV/atom: -5.7999
Crystal system: cubic

=====

(2)
Below is a relaxed structure of CuBiMoPt, with properties calculated at the GGA-PBE level.

a = 4.688 Å, b = 4.688 Å, c = 4.688 Å
α = 60.00°, β = 60.00°, γ = 60.00°
Positions (direct):
Bi 0.000 0.000 0.000
Mo 0.500 0.500 0.500
Cu 0.750 0.750 0.750
Pt 0.250 0.250 0.250

Output
Total moment, μB per atom: 0.6641
Density, Mg/m³: 12.8
Symmetry: F-43m, No. 216
Total energy, eV/atom: -5.7126
Crystal system: cubic

=====

(3)
Below is a relaxed structure of CuReBiMo, with properties calculated at the GGA-PBE level.

a = 4.593 Å, b = 4.593 Å, c = 4.593 Å
α = 60.00°, β = 60.00°, γ = 60.00°
Positions (direct):
Mo 0.500 0.500 0.500
Bi 0.000 0.000 0.000
Re 0.250 0.250 0.250
Cu 0.750 0.750 0.750

Output
Total moment, μB per atom: 0.1823
Density, Mg/m³: 13.4
Symmetry: F-43m, No. 216
Total energy, eV/atom: -7.0101
Crystal system: cubic

=====

(4)
Below is a relaxed structure of ScCuBiMo, with properties calculated at the GGA-PBE level.

a = 4.729 Å, b = 4.729 Å, c = 4.729 Å
α = 60.00°, β = 60.00°, γ = 60.00°
Positions (direct):
Cu 0.750 0.750 0.750
Bi 0.000 0.000 0.000
Sc 0.500 0.500 0.500
Mo 0.250 0.250 0.250

Output
Total moment, μB per atom: 0.0004
Density, Mg/m³: 9.2
Symmetry: F-43m, No. 216
Total energy, eV/atom: -5.8698
Crystal system: cubic

=====

(5)
Below is a relaxed structure of TaCuBiMo, with properties calculated at the GGA-PBE level.

a = 4.665 Å, b = 4.665 Å, c = 4.665 Å
α = 60.00°, β = 60.00°, γ = 60.00°
Each line ends with the local moment (μB).
Positions (direct):
Cu 0.250 0.250 0.250  0.03
Bi 0.000 0.000 0.000  0.01
Ta 0.500 0.500 0.500  0.01
Mo 0.750 0.750 0.750  0.18

Output
Total moment, μB per atom: 0.0729
Density, Mg/m³: 12.7
Symmetry: F-43m, No. 216
Total energy, eV/atom: -7.0336
Crystal system: cubic

=====

(6)
Below is a relaxed structure of CuTcBiMo, with properties calculated at the GGA-PBE level.

a = 4.577 Å, b = 4.577 Å, c = 4.577 Å
α = 60.00°, β = 60.00°, γ = 60.00°
Positions (direct):
Mo 0.500 0.500 0.500
Bi 0.000 0.000 0.000
Cu 0.750 0.750 0.750
Tc 0.250 0.250 0.250

Output
Total moment, μB per atom: 0.1915
Density, Mg/m³: 11.4
Symmetry: F-43m, No. 216
Total energy, eV/atom: -6.6540
Crystal system: cubic

=====

(7)
Below is a relaxed structure of CuBiTeMo, with properties calculated at the GGA-PBE level.

a = 4.891 Å, b = 4.891 Å, c = 4.891 Å
α = 60.00°, β = 60.00°, γ = 60.00°
Positions (direct):
Te 0.500 0.500 0.500
Bi 0.000 0.000 0.000
Cu 0.750 0.750 0.750
Mo 0.250 0.250 0.250

Output
Total moment, μB per atom: 0.3828
Density, Mg/m³: 10.0
Symmetry: F-43m, No. 216
Total energy, eV/atom: -4.8562
Crystal system: cubic

=====

(8)
Below is a relaxed structure of CuBiTeMo, with properties calculated at the GGA-PBE level.

a = 4.957 Å, b = 4.957 Å, c = 4.957 Å
α = 60.00°, β = 60.00°, γ = 60.00°
Positions (direct):
Bi 0.500 0.500 0.500
Cu 0.750 0.750 0.750
Te 0.250 0.250 0.250
Mo 0.000 0.000 0.000

Output
Total moment, μB per atom: 0.5091
Density, Mg/m³: 9.6
Symmetry: F-43m, No. 216
Total energy, eV/atom: -4.5914
Crystal system: cubic

=====

(9)
Below is a relaxed structure of CuBiMoW, with properties calculated at the GGA-PBE level.

a = 4.610 Å, b = 4.610 Å, c = 4.610 Å
α = 60.00°, β = 60.00°, γ = 60.00°
Positions (direct):
Mo 0.750 0.750 0.750
W 0.500 0.500 0.500
Bi 0.000 0.000 0.000
Cu 0.250 0.250 0.250

Output
Total moment, μB per atom: 0.0002
Density, Mg/m³: 13.2
Symmetry: F-43m, No. 216
Total energy, eV/atom: -7.1067
Crystal system: cubic

=====

(10)
Below is a relaxed structure of YCuBiMo, with properties calculated at the GGA-PBE level.

a = 4.870 Å, b = 4.870 Å, c = 4.870 Å
α = 60.00°, β = 60.00°, γ = 60.00°
Positions (direct):
Cu 0.750 0.750 0.750
Mo 0.250 0.250 0.250
Bi 0.000 0.000 0.000
Y 0.500 0.500 0.500

Output
Total moment, μB per atom: 0.0000
Density, Mg/m³: 9.3
Symmetry: F-43m, No. 216
Total energy, eV/atom: -5.8574
Crystal system: cubic

=====

(11)
Below is a relaxed structure of YCuBiMo, with properties calculated at the GGA-PBE level.

a = 4.993 Å, b = 4.993 Å, c = 4.993 Å
α = 60.00°, β = 60.00°, γ = 60.00°
Positions (direct):
Y 0.250 0.250 0.250
Mo 0.500 0.500 0.500
Bi 0.000 0.000 0.000
Cu 0.750 0.750 0.750

Output
Total moment, μB per atom: 0.7063
Density, Mg/m³: 8.6
Symmetry: F-43m, No. 216
Total energy, eV/atom: -5.6216
Crystal system: cubic

=====

(12)
Below is a relaxed structure of ZnCuBiMo, with properties calculated at the GGA-PBE level.

a = 4.724 Å, b = 4.724 Å, c = 4.724 Å
α = 60.00°, β = 60.00°, γ = 60.00°
Positions (direct):
Mo 0.500 0.500 0.500
Zn 0.250 0.250 0.250
Bi 0.000 0.000 0.000
Cu 0.750 0.750 0.750

Output
Total moment, μB per atom: 0.7227
Density, Mg/m³: 9.7
Symmetry: F-43m, No. 216
Total energy, eV/atom: -4.2506
Crystal system: cubic

=====

(13)
Below is a relaxed structure of ZnCuBiMo, with properties calculated at the GGA-PBE level.

a = 4.635 Å, b = 4.635 Å, c = 4.635 Å
α = 60.00°, β = 60.00°, γ = 60.00°
Positions (direct):
Bi 0.000 0.000 0.000
Zn 0.500 0.500 0.500
Cu 0.750 0.750 0.750
Mo 0.250 0.250 0.250

Output
Total moment, μB per atom: 0.0186
Density, Mg/m³: 10.2
Symmetry: F-43m, No. 216
Total energy, eV/atom: -4.3369
Crystal system: cubic

=====

(14)
Below is a relaxed structure of ZrCuBiMo, with properties calculated at the GGA-PBE level.

a = 4.737 Å, b = 4.737 Å, c = 4.737 Å
α = 60.00°, β = 60.00°, γ = 60.00°
Each line ends with the local moment (μB).
Positions (direct):
Cu 0.500 0.500 0.500  0.04
Zr 0.250 0.250 0.250  -0.01
Bi 0.000 0.000 0.000  -0.01
Mo 0.750 0.750 0.750  0.68

Output
Total moment, μB per atom: 0.2092
Density, Mg/m³: 10.2
Symmetry: F-43m, No. 216
Total energy, eV/atom: -6.4580
Crystal system: cubic

=====

(15)
Below is a relaxed structure of ZrCuBiMo, with properties calculated at the GGA-PBE level.

a = 4.744 Å, b = 4.744 Å, c = 4.744 Å
α = 60.00°, β = 60.00°, γ = 60.00°
Positions (direct):
Bi 0.000 0.000 0.000
Mo 0.750 0.750 0.750
Cu 0.250 0.250 0.250
Zr 0.500 0.500 0.500

Output
Total moment, μB per atom: 0.0002
Density, Mg/m³: 10.1
Symmetry: F-43m, No. 216
Total energy, eV/atom: -6.4157
Crystal system: cubic

=====

(16)
Below is a relaxed structure of Nb4CuBiN2, with properties calculated at the GGA-PBE level.

a = 3.274 Å, b = 3.274 Å, c = 13.213 Å
α = 90.00°, β = 90.00°, γ = 120.00°
Positions (direct):
Bi 0.000 0.000 0.000
Nb 0.000 0.000 0.348
N 0.333 0.667 0.265
N 0.333 0.667 0.735
Nb 0.667 0.333 0.819
Cu 0.667 0.333 0.500
Nb 0.000 0.000 0.652
Nb 0.667 0.333 0.181

Output
Total moment, μB per atom: 0.0004
Density, Mg/m³: 9.1
Symmetry: P-6m2, No. 187
Total energy, eV/atom: -8.4228
Crystal system: hexagonal

=====

(17)
Below is a relaxed structure of Sc4CuBiN2, with properties calculated at the GGA-PBE level.

a = 3.311 Å, b = 3.311 Å, c = 13.772 Å
α = 90.00°, β = 90.00°, γ = 120.00°
Positions (direct):
Bi 0.000 0.000 0.000
Cu 0.333 0.667 0.500
Sc 0.000 0.000 0.355
Sc 0.333 0.667 0.819
Sc 0.333 0.667 0.181
N 0.667 0.333 0.742
N 0.667 0.333 0.258
Sc 0.000 0.000 0.645

Output
Total moment, μB per atom: 0.0007
Density, Mg/m³: 6.1
Symmetry: P-6m2, No. 187
Total energy, eV/atom: -7.2550
Crystal system: hexagonal

=====

(18)
Below is a relaxed structure of Ta4CuBiN2, with properties calculated at the GGA-PBE level.

a = 3.169 Å, b = 3.169 Å, c = 14.307 Å
α = 90.00°, β = 90.00°, γ = 120.00°
Each line ends with the local moment (μB).
Positions (direct):
N 0.333 0.667 0.276  0.01
Ta 0.000 0.000 0.643  0.01
Bi 0.000 0.000 0.000  0.01
Ta 0.667 0.333 0.805  0.08
Cu 0.667 0.333 0.500  0.01
Ta 0.000 0.000 0.357  0.01
N 0.333 0.667 0.724  0.01
Ta 0.667 0.333 0.195  0.08

Output
Total moment, μB per atom: 0.0481
Density, Mg/m³: 13.7
Symmetry: P-6m2, No. 187
Total energy, eV/atom: -9.2104
Crystal system: hexagonal

=====

(19)
Below is a relaxed structure of Zr4CuBiN2, with properties calculated at the GGA-PBE level.

a = 3.348 Å, b = 3.348 Å, c = 13.962 Å
α = 90.00°, β = 90.00°, γ = 120.00°
Positions (direct):
N 0.667 0.333 0.267
Bi 0.000 0.000 0.000
Zr 0.000 0.000 0.353
Zr 0.000 0.000 0.647
Zr 0.333 0.667 0.824
Cu 0.333 0.667 0.500
Zr 0.333 0.667 0.176
N 0.667 0.333 0.733

Output
Total moment, μB per atom: 0.0011
Density, Mg/m³: 8.2
Symmetry: P-6m2, No. 187
Total energy, eV/atom: -8.1815
Crystal system: hexagonal

=====

(20)
Below is a relaxed structure of Nb3CuBi5, with properties calculated at the GGA-PBE level.

a = 5.796 Å, b = 5.796 Å, c = 8.722 Å
α = 90.00°, β = 90.00°, γ = 120.00°
Positions (direct):
Nb 0.500 0.500 0.500
Bi 0.000 0.000 0.500
Bi 0.667 0.333 0.793
Bi 0.333 0.667 0.207
Nb 0.000 0.500 0.500
Nb 0.500 0.000 0.500
Cu 0.000 0.000 0.000
Bi 0.667 0.333 0.207
Bi 0.333 0.667 0.793

Output
Total moment, μB per atom: 0.0002
Density, Mg/m³: 9.1
Symmetry: P6/mmm, No. 191
Total energy, eV/atom: -5.7928
Crystal system: hexagonal